<i>
Below is PbWBr2 after structural relaxation, with properties calculated at the PBE-GGA level.

## Properties
As for the total moment: 0.000 μB per atom. Its space-group type is P4mm.

a b c (Å): 3.3222 3.3222 8.7009
angles (deg): 90.00 90.00 90.00
Fractional positions:
W 0.5000 0.5000 0.7794
Br 0.0000 0.0000 0.9254
Br 0.5000 0.5000 0.2751
Pb 0.0000 0.0000 0.5201

***

<ii>
Below is PbWBr2 after structural relaxation, with properties calculated at the PBE-GGA level.

## Properties
As for the total moment: 0.000 μB per atom. Its space-group type is R-3m.

a b c (Å): 11.9301 11.9301 11.9301
angles (deg): 15.89 15.89 15.89
Fractional positions:
Pb 0.0000 0.0000 0.0000
W 0.5000 0.5000 0.5000
Br 0.8852 0.8852 0.8852
Br 0.1148 0.1148 0.1148

***

The most stable of them is <ii>.

***

<i>
Below is PbWBr2 after structural relaxation, with properties calculated at the PBE-GGA level.

## Properties
As for the total moment: 0.503 μB per atom. Its space-group type is Cmmm.

a b c (Å): 5.5590 5.5590 3.2313
angles (deg): 90.00 90.00 105.96
Fractional positions:
Br 0.0000 0.0000 0.0000
Br 0.5000 0.5000 0.0000
Pb 0.5000 0.0000 0.5000
W 0.0000 0.5000 0.5000

***

<ii>
Below is PbWBr2 after structural relaxation, with properties calculated at the PBE-GGA level.

## Properties
As for the total moment: 0.493 μB per atom. Its space-group type is P2/m.

a b c (Å): 4.4535 3.4912 6.5557
angles (deg): 73.40 90.00 90.00
Fractional positions:
Br 0.0000 0.8362 0.9667
Br 0.0000 0.6638 0.5333
W 0.5000 0.7500 0.7500
Pb 0.5000 0.2500 0.2500

***

<iii>
Below is PbWBr2 after structural relaxation, with properties calculated at the PBE-GGA level.

## Properties
As for the total moment: 1.031 μB per atom. Its space-group type is F-43m.

a b c (Å): 5.2320 5.2320 5.2320
angles (deg): 60.00 60.00 60.00
Fractional positions:
Br 0.7500 0.7500 0.7500
Br 0.0000 0.0000 0.0000
W 0.2500 0.2500 0.2500
Pb 0.5000 0.5000 0.5000

***

The most stable of them is <ii>.

***

<i>
Below is PbWBr2 after structural relaxation, with properties calculated at the PBE-GGA level.

## Properties
As for the total moment: 0.000 μB per atom. Its space-group type is I-42d.

a b c (Å): 8.9063 8.9063 6.9006
angles (deg): 49.81 49.81 90.00
Fractional positions:
Br 0.3750 0.5026 0.7500
Br 0.4974 0.1250 0.2500
Br 0.2526 0.6250 0.2500
Br 0.8750 0.7474 0.7500
W 0.2500 0.7500 0.5000
W 0.5000 0.5000 0.0000
Pb 0.0000 0.0000 0.0000
Pb 0.7500 0.2500 0.5000

***

<ii>
Below is PbWBr2 after structural relaxation, with properties calculated at the PBE-GGA level.

## Properties
As for the total moment: 0.000 μB per atom. Its space-group type is R-3m.

a b c (Å): 10.5452 10.5452 10.5452
angles (deg): 18.01 18.01 18.01
Fractional positions:
Pb 0.5000 0.5000 0.5000
Br 0.0782 0.0782 0.0782
Br 0.9218 0.9218 0.9218
W 0.0000 0.0000 0.0000

***

<iii>
Below is PbWBr2 after structural relaxation, with properties calculated at the PBE-GGA level.

## Properties
As for the total moment: 0.306 μB per atom. Its space-group type is Cmmm.

a b c (Å): 3.3907 3.3907 11.7291
angles (deg): 90.00 90.00 124.03
Fractional positions:
Br 0.0000 0.0000 0.9245
Br 0.0000 0.0000 0.5755
W 0.5000 0.5000 0.7500
Pb 0.5000 0.5000 0.2500

***

<iv>
Below is PbWBr2 after structural relaxation, with properties calculated at the PBE-GGA level.

## Properties
As for the total moment: 0.440 μB per atom. Its space-group type is Fm-3m.

a b c (Å): 5.0612 5.0612 5.0612
angles (deg): 60.00 60.00 60.00
Fractional positions:
Br 0.7500 0.7500 0.7500
Br 0.2500 0.2500 0.2500
W 0.0000 0.0000 0.0000
Pb 0.5000 0.5000 0.5000

***

The most stable of them is <iii>.

***

<i>
Below is PbWBr2 after structural relaxation, with properties calculated at the PBE-GGA level.

## Properties
As for the total moment: 0.983 μB per atom. Its space-group type is I-4m2.

a b c (Å): 6.6251 6.6251 6.6251
angles (deg): 142.49 142.49 54.10
Fractional positions:
W 0.7500 0.2500 0.5000
Br 0.2500 0.7500 0.5000
Br 0.0000 0.0000 0.0000
Pb 0.5000 0.5000 0.0000

***

<ii>
Below is PbWBr2 after structural relaxation, with properties calculated at the PBE-GGA level.

## Properties
As for the total moment: 0.000 μB per atom. Its space-group type is Pm.

a b c (Å): 4.8836 3.2200 6.6320
angles (deg): 90.10 90.00 90.00
Fractional positions:
W 0.5000 0.8745 0.8379
Br 0.5000 0.3756 0.1472
Br 0.0000 0.8751 0.9625
Pb 0.0000 0.3748 0.5524

***

The most stable of them is <ii>.

***

<i>
Below is YPb2Br after structural relaxation, with properties calculated at the PBE-GGA level.

## Properties
As for the total moment: 0.000 μB per atom. Its space-group type is Fm-3m.

a b c (Å): 5.5490 5.5490 5.5490
angles (deg): 60.00 60.00 60.00
Fractional positions:
Pb 0.2500 0.2500 0.2500
Pb 0.7500 0.7500 0.7500
Br 0.0000 0.0000 0.0000
Y 0.5000 0.5000 0.5000

***

<ii>
Below is YPb2Br after structural relaxation, with properties calculated at the PBE-GGA level.

## Properties
As for the total moment: 0.000 μB per atom. Its space-group type is F-43m.

a b c (Å): 5.4989 5.4989 5.4989
angles (deg): 60.00 60.00 60.00
Fractional positions:
Y 0.7500 0.7500 0.7500
Pb 0.0000 0.0000 0.0000
Pb 0.2500 0.2500 0.2500
Br 0.5000 0.5000 0.5000

***

<iii>
Below is YPb2Br after structural relaxation, with properties calculated at the PBE-GGA level.

## Properties
As for the total moment: 0.000 μB per atom. Its space-group type is I4/mmm.

a b c (Å): 6.4354 6.4354 6.4354
angles (deg): 139.05 139.05 59.29
Fractional positions:
Pb 0.5000 0.5000 0.0000
Pb 0.0000 0.0000 0.0000
Br 0.7500 0.2500 0.5000
Y 0.2500 0.7500 0.5000

***

The most stable of them is <iii>.

***

<i>
Below is YPb2Br after structural relaxation, with properties calculated at the PBE-GGA level.

## Properties
As for the total moment: 0.000 μB per atom. Its space-group type is P2/m.

a b c (Å): 5.8951 3.7064 6.6010
angles (deg): 59.76 90.00 90.00
Fractional positions:
Br 0.5000 0.7500 0.7500
Pb 0.0000 0.1727 0.0207
Pb 0.0000 0.3273 0.4793
Y 0.5000 0.2500 0.2500

***

<ii>
Below is YPb2Br after structural relaxation, with properties calculated at the PBE-GGA level.

## Properties
As for the total moment: 0.001 μB per atom. Its space-group type is Immm.

a b c (Å): 7.7885 7.7885 7.7885
angles (deg): 153.83 143.64 45.35
Fractional positions:
Br 0.2500 0.7500 0.5000
Pb 0.9538 0.9538 0.0000
Pb 0.5462 0.5462 0.0000
Y 0.7500 0.2500 0.5000

***

<iii>
Below is YPb2Br after structural relaxation, with properties calculated at the PBE-GGA level.

## Properties
As for the total moment: 0.000 μB per atom. Its space-group type is Pmmm.

a b c (Å): 3.6149 5.4142 5.8842
angles (deg): 90.00 90.00 90.00
Fractional positions:
Pb 0.0000 0.0000 0.0000
Pb 0.5000 0.5000 0.0000
Br 0.0000 0.5000 0.5000
Y 0.5000 0.0000 0.5000

***

The most stable of them is <ii>.

***

<i>
Below is YPb2Br after structural relaxation, with properties calculated at the PBE-GGA level.

## Properties
As for the total moment: 0.000 μB per atom. Its space-group type is Cm.

a b c (Å): 6.3987 6.3987 5.9568
angles (deg): 68.40 68.40 31.87
Fractional positions:
Pb 0.0024 0.0024 0.9967
Pb 0.7631 0.7631 0.7224
Y 0.5177 0.5177 0.4970
Br 0.2168 0.2168 0.2839

***

<ii>
Below is YPb2Br after structural relaxation, with properties calculated at the PBE-GGA level.

## Properties
As for the total moment: 0.000 μB per atom. Its space-group type is Cmmm.

a b c (Å): 5.8368 5.8368 3.5314
angles (deg): 90.00 90.00 106.67
Fractional positions:
Pb 0.5000 0.5000 0.0000
Pb 0.0000 0.0000 0.0000
Br 0.0000 0.5000 0.5000
Y 0.5000 0.0000 0.5000

***

<iii>
Below is YPb2Br after structural relaxation, with properties calculated at the PBE-GGA level.

## Properties
As for the total moment: 0.000 μB per atom. Its space-group type is I-42d.

a b c (Å): 10.4075 10.4075 7.8466
angles (deg): 48.46 48.46 90.00
Fractional positions:
Br 0.5000 0.5000 0.0000
Br 0.2500 0.7500 0.5000
Y 0.7500 0.2500 0.5000
Y 0.0000 0.0000 0.0000
Pb 0.8750 0.9491 0.7500
Pb 0.3750 0.3009 0.7500
Pb 0.0509 0.6250 0.2500
Pb 0.6991 0.1250 0.2500

***

<iv>
Below is YPb2Br after structural relaxation, with properties calculated at the PBE-GGA level.

## Properties
As for the total moment: 0.000 μB per atom. Its space-group type is P4/mmm.

a b c (Å): 5.9967 4.3797 4.3797
angles (deg): 90.00 90.00 90.00
Fractional positions:
Pb 0.0000 0.5000 0.5000
Pb 0.0000 0.0000 0.0000
Br 0.5000 0.0000 0.5000
Y 0.5000 0.5000 0.0000

***

The most stable of them is <i>.

***

<i>
Below is YPb2Br after structural relaxation, with properties calculated at the PBE-GGA level.

## Properties
As for the total moment: 0.000 μB per atom. Its space-group type is Cmmm.

a b c (Å): 3.6282 3.6282 10.1328
angles (deg): 90.00 90.00 114.12
Fractional positions:
Br 0.5000 0.5000 0.7500
Y 0.5000 0.5000 0.2500
Pb 0.0000 0.0000 0.9924
Pb 0.0000 0.0000 0.5076

***

<ii>
Below is YPb2Br after structural relaxation, with properties calculated at the PBE-GGA level.

## Properties
As for the total moment: 0.000 μB per atom. Its space-group type is Cmm2.

a b c (Å): 3.6656 3.6656 9.4928
angles (deg): 90.00 90.00 100.00
Fractional positions:
Y 0.0000 0.0000 0.4963
Pb 0.5000 0.5000 0.2735
Pb 0.0000 0.0000 0.0462
Br 0.5000 0.5000 0.6841

***

<iii>
Below is YPb2Br after structural relaxation, with properties calculated at the PBE-GGA level.

## Properties
As for the total moment: 0.000 μB per atom. Its space-group type is R-3m.

a b c (Å): 10.3901 10.3901 10.3901
angles (deg): 20.57 20.57 20.57
Fractional positions:
Pb 0.4974 0.4974 0.4974
Pb 0.0026 0.0026 0.0026
Y 0.2500 0.2500 0.2500
Br 0.7500 0.7500 0.7500

***

The most stable of them is <ii>.